{
  "formula": "Hg2SbPt",
  "functional": "PBE-GGA",
  "state": "relaxed",
  "cell": [[3.285, 0.000, 0.000], [0.000, 3.285, 0.000], [0.000, 0.000, 8.779]],
  "species": ["Hg", "Hg", "Sb", "Pt"],
  "frac_coords": [[0.000, 0.000, 0.000], [0.500, 0.500, 0.273], [0.500, 0.500, 0.674], [0.000, 0.000, 0.503]],
  "formation_energy_uncorrected_ev_per_atom": -0.03,
  "crystal_system": "tetragonal",
  "dos_ef_per_ev_cell": 1.6,
  "space_group": "P4mm, No. 99"
}